! CsZnBr2Cl | Alexandria via LeMat-Bulk | GGA-PBE | relaxed; values from VASP
&SYSTEM
  ibrav = 0, nat = 5, ntyp = 4
/
ATOMIC_SPECIES
Cs 132.91 Cs.upf
Zn 65.41 Zn.upf
Br 79.90 Br.upf
Cl 35.45 Cl.upf
CELL_PARAMETERS angstrom
-3.746 -3.848 -0.069
2.329 -2.343 4.235
-2.910 2.777 3.137
ATOMIC_POSITIONS crystal
Cs 0.500 0.500 0.500
Zn 0.000 0.000 0.000
Br 0.000 0.500 0.000
Br 0.500 0.000 0.000
Cl 0.000 0.000 0.500
! - Spin magnetization: 0.00 μB per formula unit
! - Formation energy without anion corrections: -1.24 eV/atom
! - Electronic total energy: -2.702 eV/atom
! - Space-group type: P4/mmm